CrPd2RuS at its PBEsol-relaxed geometry. Source: the Alexandria database, functional SCAN.

Values from the calculation:
Size of the total moment: 3.41 μB/cell
Uncorrected energy: -24.918 eV per atom
DOS at the Fermi energy: 0.788 states/eV per atom
ΔE_f (raw): 0.76 eV per atom
Crystal system: tetragonal

Cell: 4.200 4.835 4.835 Å, 90.00 90.00 90.00°
Element x y z (fractional)
Ru1 0.000 0.000 0.000
Pd1 0.000 0.500 0.000
Pd2 0.000 0.000 0.500
Cr1 0.500 0.500 0.500
S1 0.500 0.000 0.000